Material: LiTiP2O7
Method: DFT, GGA-PBE
State: relaxed

CIF file:
```
data_LiTiP2O7
_cell_length_a 6.3867
_cell_length_b 6.5412
_cell_length_c 6.8510
_cell_angle_alpha 83.44
_cell_angle_beta 66.58
_cell_angle_gamma 82.37
_symmetry_space_group_name_H-M 'P -1'
_symmetry_Int_Tables_number 2
_symmetry_space_group_name_Hall '-P 1'
loop_
_atom_site_label
_atom_site_type_symbol
_atom_site_fract_x
_atom_site_fract_y
_atom_site_fract_z
Li1 Li 0.2077 0.4859 0.3287
Ti1 Ti 0.4108 0.8692 0.6991
P1 P 0.1544 0.1055 0.1465
P2 P 0.2825 0.3798 0.7385
O1 O 0.0957 0.9168 0.7076
O2 O 0.1119 0.4560 0.6402
O3 O 0.1427 0.2991 0.9797
O4 O 0.2753 0.9176 0.0193
O5 O 0.2812 0.1764 0.2718
O6 O 0.4301 0.5438 0.7476
O7 O 0.4454 0.1870 0.6286
```

Output
For the total magnetization, the calculation gives 1.01 μB/f.u. The calculation puts the energy above the lowest structure with this stoichiometry at 19 kJ/mol of formula units.

=====

Material: LiTi2P3O12
Method: DFT, GGA-PBE
State: relaxed

CIF file:
```
data_LiTi2P3O12
_cell_length_a 14.9071
_cell_length_b 8.6215
_cell_length_c 8.6102
_cell_angle_alpha 90.00
_cell_angle_beta 125.18
_cell_angle_gamma 90.00
_symmetry_space_group_name_H-M 'C 1 2 1'
_symmetry_Int_Tables_number 5
_symmetry_space_group_name_Hall 'C 2y'
loop_
_atom_site_label
_atom_site_type_symbol
_atom_site_fract_x
_atom_site_fract_y
_atom_site_fract_z
Li1 Li 0.2493 0.0000 0.2486
Ti1 Ti 0.1085 0.4986 0.8913
Ti2 Ti 0.1086 0.9986 0.3915
P1 P 0.0000 0.7081 0.5000
P2 P 0.0000 0.7892 0.0000
P3 P 0.1452 0.1439 0.7906
P4 P 0.1453 0.3534 0.2904
O1 O 0.0344 0.0902 0.7482
O2 O 0.0344 0.4071 0.2480
O3 O 0.0610 0.6856 0.9428
O4 O 0.0610 0.8117 0.4427
O5 O 0.0874 0.6048 0.6658
O6 O 0.0873 0.8925 0.1658
O7 O 0.1524 0.0939 0.6259
O8 O 0.1525 0.4033 0.1258
O9 O 0.1577 0.1751 0.3064
O10 O 0.1576 0.3221 0.8065
O11 O 0.2362 0.0690 0.9813
O12 O 0.2363 0.4282 0.4810
```

Output
For the total magnetization, the calculation gives 0.00 μB/f.u. The calculation puts the energy above the lowest structure with this stoichiometry at 0 kJ/mol of formula units.

=====

Material: Li2TiP5O15
Method: DFT, GGA-PBE
State: relaxed

CIF file:
```
data_Li2TiP5O15
_cell_length_a 5.2805
_cell_length_b 13.9866
_cell_length_c 8.7463
_cell_angle_alpha 90.00
_cell_angle_beta 101.88
_cell_angle_gamma 90.00
_symmetry_space_group_name_H-M 'P 1 21/m 1'
_symmetry_Int_Tables_number 11
_symmetry_space_group_name_Hall '-P 2yb'
loop_
_atom_site_label
_atom_site_type_symbol
_atom_site_fract_x
_atom_site_fract_y
_atom_site_fract_z
Li1 Li 0.1732 0.1451 0.1110
Ti1 Ti 0.5000 0.0000 0.5000
P1 P 0.0138 0.1427 0.5223
P2 P 0.3619 0.0858 0.8227
P3 P 0.3694 0.7500 0.0002
O1 O 0.0238 0.2500 0.4604
O2 O 0.0907 0.7500 0.9180
O3 O 0.1571 0.1513 0.7001
O4 O 0.1672 0.0835 0.4284
O5 O 0.2344 0.0575 0.9517
O6 O 0.2656 0.6163 0.4862
O7 O 0.4060 0.6609 0.1214
O8 O 0.4243 0.2500 0.0949
O9 O 0.4686 0.0109 0.7282
```

Output
For the total magnetization, the calculation gives 1.00 μB/f.u. The calculation puts the energy above the lowest structure with this stoichiometry at 11 kJ/mol of formula units.

=====

Material: Li3Ti2P3O12
Method: DFT, GGA-PBE
State: relaxed

CIF file:
```
data_Li3Ti2P3O12
_cell_length_a 8.2730
_cell_length_b 5.4962
_cell_length_c 18.5360
_cell_angle_alpha 90.00
_cell_angle_beta 90.46
_cell_angle_gamma 90.00
_symmetry_space_group_name_H-M 'C 1 2/m 1'
_symmetry_Int_Tables_number 12
_symmetry_space_group_name_Hall '-C 2y'
loop_
_atom_site_label
_atom_site_type_symbol
_atom_site_fract_x
_atom_site_fract_y
_atom_site_fract_z
Li1 Li 0.0019 0.0000 0.3296
Li2 Li 0.1663 0.5000 0.7456
Li3 Li 0.1697 0.5000 0.4091
Ti1 Ti 0.0000 0.0000 0.0000
Ti2 Ti 0.0000 0.0000 0.5000
Ti3 Ti 0.0011 0.0000 0.1597
P1 P 0.1498 0.5000 0.5800
P2 P 0.1521 0.5000 0.9182
P3 P 0.1552 0.5000 0.2434
O1 O 0.0335 0.2722 0.5771
O2 O 0.0405 0.2683 0.9196
O3 O 0.0396 0.2718 0.2387
O4 O 0.2298 0.0000 0.8222
O5 O 0.2363 0.0000 0.0158
O6 O 0.2432 0.0000 0.4889
O7 O 0.2480 0.0000 0.1518
O8 O 0.2480 0.0000 0.3520
O9 O 0.2479 0.0000 0.6868
```

Output
For the total magnetization, the calculation gives 0.98 μB/f.u. The calculation puts the energy above the lowest structure with this stoichiometry at 39 kJ/mol of formula units.

=====

These records have total energy values of -7.430; -7.743; -7.179; -7.301 eV per atom, in the order they appear.